(1)
Tl2Co3RuF12 | PBE+U | relaxed

Summary:
E: -0.3551 Ry per atom
N(E_F): 5.8 states/eV/cell
SG: R-3m (166)
Mass density: 5.1 g cm⁻³

Structure (POSCAR):
```
Tl2Co3RuF12
1.0
-3.839 -2.648 -5.993
3.506 -3.229 -5.912
-0.571 -7.434 -1.442
Tl Co Ru F
2 3 1 12
Cartesian
-0.540 -7.949 -7.971
-0.364 -5.362 -5.376
-1.919 -1.324 -2.997
1.753 -1.614 -2.956
-0.286 -3.717 -0.721
0.000 0.000 0.000
-0.634 -8.758 -5.205
-0.488 -7.790 -11.517
1.526 -10.740 -8.711
-2.578 -5.911 -7.912
-3.002 -10.382 -8.761
1.791 -6.256 -7.864
-0.270 -4.553 -8.142
-0.416 -5.521 -1.830
-2.430 -2.571 -4.635
1.674 -7.400 -5.435
2.098 -2.929 -4.585
-2.696 -7.055 -5.483
```

=====

(2)
Zn2CoRuF | PBE+U | relaxed

Summary:
E: -0.2428 Ry per atom
N(E_F): 5.7 states/eV/cell
SG: P4/mmm (123)
Mass density: 5.5 g cm⁻³

Structure (POSCAR):
```
Zn2CoRuF
1.0
-2.334 4.274 0.040
-1.720 -0.972 3.445
3.717 2.007 2.422
Ru Zn Co F
1 2 1 1
Cartesian
0.000 0.000 0.000
1.859 1.003 1.211
-1.167 2.137 0.020
-0.168 2.654 2.954
-0.860 -0.486 1.723
```

=====

(3)
CoSF2 | PBE+U | relaxed

Summary:
E: -0.3193 Ry per atom
E above lowest polymorph: 0.0000 eV/atom
N(E_F): 1.2 states/eV/cell
SG: R-3m (166)
Mass density: 3.0 g cm⁻³

Structure (POSCAR):
```
CoSF2
1.0
-4.091 4.630 7.237
-3.799 1.975 8.498
-1.549 3.888 8.545
S Co F
1 1 2
Cartesian
0.000 0.000 0.000
-4.719 5.247 12.140
-8.233 9.154 21.178
-1.206 1.341 3.102
```

=====

(4)
CoS3F | PBE+U | relaxed

Summary:
E: -0.2123 Ry per atom
E above lowest polymorph: 0.4159 eV/atom
N(E_F): 3.3 states/eV/cell
SG: Pm-3m (221)
Mass density: 3.5 g cm⁻³

Structure (POSCAR):
```
CoS3F
1.0
4.372 0.000 0.000
0.000 4.372 0.000
0.000 0.000 4.372
S Co F
3 1 1
Cartesian
0.000 2.186 0.000
0.000 0.000 2.186
2.186 0.000 0.000
2.186 2.186 2.186
0.000 0.000 0.000
```

=====

(5)
Co2SF | PBE+U | relaxed

Summary:
E: -0.3352 Ry per atom
E above lowest polymorph: 0.0000 eV/atom
N(E_F): 3.7 states/eV/cell
SG: I-42d (122)
Mass density: 4.6 g cm⁻³

Structure (POSCAR):
```
Co2SF
1.0
-5.713 0.701 -0.098
-0.641 -5.461 -1.705
-3.371 -3.465 2.647
S Co F
2 4 2
Cartesian
0.000 0.000 0.000
-6.131 -2.571 0.824
-4.390 -1.123 0.389
-2.061 -4.179 -0.418
-4.923 -4.482 1.278
-8.077 -6.664 0.438
-3.177 -2.380 -0.902
-3.595 -5.653 0.020
```

=====

(6)
CoSF2 | PBE+U | relaxed

Summary:
E: -0.2910 Ry per atom
E above lowest polymorph: 0.3847 eV/atom
N(E_F): 4.9 states/eV/cell
SG: I-42d (122)
Mass density: 2.9 g cm⁻³

Structure (POSCAR):
```
CoSF2
1.0
6.057 0.000 0.000
0.000 6.057 0.000
3.028 3.028 3.962
S Co F
2 2 4
Cartesian
3.028 3.028 0.000
3.028 6.057 1.981
0.000 0.000 0.000
6.057 3.028 1.981
5.420 1.514 0.991
6.694 4.543 0.991
4.543 3.665 2.972
7.571 2.392 2.972
```

=====

(7)
CoSF2 | PBE+U | relaxed

Summary:
E: -0.2514 Ry per atom
E above lowest polymorph: 0.9235 eV/atom
N(E_F): 0.6 states/eV/cell
SG: Fm-3m (225)
Mass density: 4.1 g cm⁻³

Structure (POSCAR):
```
CoSF2
1.0
2.306 -0.915 3.395
-0.673 2.045 3.612
-1.754 -2.003 3.255
S Co F
1 1 2
Cartesian
0.000 0.000 0.000
-0.061 -0.436 5.131
-0.030 -0.218 2.566
-0.091 -0.655 7.697
```

=====

(8)
CoS3F | PBE+U | relaxed

Summary:
E: -0.2428 Ry per atom
E above lowest polymorph: 0.0000 eV/atom
N(E_F): 5.5 states/eV/cell
SG: Pm-3m (221)
Mass density: 3.5 g cm⁻³

Structure (POSCAR):
```
CoS3F
1.0
4.355 0.000 0.000
0.000 4.355 0.000
0.000 0.000 4.355
S Co F
3 1 1
Cartesian
0.000 2.178 0.000
0.000 0.000 2.178
2.178 0.000 0.000
0.000 0.000 0.000
2.178 2.178 2.178
```

=====

(9)
Co2SF | PBE+U | relaxed

Summary:
E: -0.3245 Ry per atom
E above lowest polymorph: 0.1460 eV/atom
N(E_F): 3.7 states/eV/cell
SG: Fm-3m (225)
Mass density: 5.7 g cm⁻³

Structure (POSCAR):
```
Co2SF
1.0
-2.084 1.775 3.087
-0.815 4.042 -0.118
-3.866 1.308 -0.605
S Co F
1 2 1
Cartesian
-3.382 3.562 1.182
-1.691 1.781 0.591
-5.074 5.343 1.773
0.000 0.000 0.000
```

=====

(10)
CoSi2SF | PBE+U | relaxed

Summary:
E: -0.3281 Ry per atom
N(E_F): 0.6 states/eV/cell
SG: P4/mmm (123)
Mass density: 3.7 g cm⁻³

Structure (POSCAR):
```
CoSi2SF
1.0
-0.899 3.426 2.698
0.388 -2.266 3.008
4.337 0.990 0.187
S Co Si F
1 1 2 1
Cartesian
1.913 1.075 2.946
0.000 0.000 0.000
2.168 0.495 0.093
-0.449 1.713 1.349
0.194 -1.133 1.504
```

=====

(11)
CoSn2SF | PBE+U | relaxed

Summary:
E: -0.2983 Ry per atom
N(E_F): 2.4 states/eV/cell
SG: P4/mmm (123)
Mass density: 5.5 g cm⁻³

Structure (POSCAR):
```
CoSn2SF
1.0
-2.337 3.756 2.256
0.413 -1.980 3.725
4.355 2.274 0.725
S Co Sn F
1 1 2 1
Cartesian
0.207 -0.990 1.862
0.000 0.000 0.000
2.177 1.137 0.363
-1.169 1.878 1.128
1.215 2.025 3.353
```

=====

(12)
CoTcS2F | PBE+U | relaxed

Summary:
E: -0.3080 Ry per atom
N(E_F): 3.5 states/eV/cell
SG: P4/mmm (123)
Mass density: 4.4 g cm⁻³

Structure (POSCAR):
```
CoTcS2F
1.0
-3.565 1.642 2.954
-2.473 -0.236 -2.853
-1.054 -4.620 1.296
S Co Tc F
2 1 1 1
Cartesian
-0.527 -2.310 0.648
-1.783 0.821 1.477
-3.546 -1.607 0.698
-1.236 -0.118 -1.427
0.000 0.000 0.000
```

=====

(13)
CoTc2SF | PBE+U | relaxed

Summary:
E: -0.4059 Ry per atom
N(E_F): 6.7 states/eV/cell
SG: P4/mmm (123)
Mass density: 6.6 g cm⁻³

Structure (POSCAR):
```
CoTc2SF
1.0
4.395 0.000 0.000
0.000 3.975 0.000
0.000 0.000 4.395
S Co Tc F
1 1 2 1
Cartesian
0.000 0.000 0.000
0.000 1.987 0.000
0.000 0.000 2.198
2.198 0.000 0.000
2.198 1.987 2.198
```